No. 1
# PmCd2Ag

A relaxed structure of PmCd2Ag (GGA-PBE, OQMD).

Calculated values
Energy of formation from the pure elements ... -7.362 kcal/mol of atoms
Total DFT energy (no corrections) ... -2.6593 eV/atom
Density ... 8.6 g cm⁻³

Lattice parameters (Å, degrees): 5.044 5.044 7.226 90.00 90.00 90.00
Space group I-4m2 (No. 119)
Inequivalent atoms, fractional coordinates:
1 Pm 0.000 0.000 0.000 (multiplicity 2)
2 Cd 0.000 0.000 0.500 (multiplicity 2)
3 Cd 0.000 0.500 0.750 (multiplicity 2)
4 Ag 0.000 0.500 0.250 (multiplicity 2)

=====

No. 2
# AgBiSO

A relaxed structure of AgBiSO (GGA-PBE, OQMD).

Calculated values
Excess energy over the best structure of this formula in the dataset ... 0.047 eV per atom
Total DFT energy (no corrections) ... -4.5592 eV/atom
Density ... 7.2 g cm⁻³

Lattice parameters (Å, degrees): 5.683 5.668 10.825 90.00 104.41 90.00
Space group P2_1 (No. 4)
Inequivalent atoms, fractional coordinates:
1 Ag 0.032 0.000 0.152 (multiplicity 2)
2 Ag 0.364 0.221 0.018 (multiplicity 2)
3 Bi 0.060 0.799 0.617 (multiplicity 2)
4 Bi 0.465 0.804 0.378 (multiplicity 2)
5 S 0.226 0.210 0.792 (multiplicity 2)
6 S 0.377 0.258 0.239 (multiplicity 2)
7 O 0.242 0.529 0.502 (multiplicity 2)
8 O 0.248 0.037 0.501 (multiplicity 2)

=====

No. 3
# RbSmAlTe3

A relaxed structure of RbSmAlTe3 (GGA-PBE, OQMD).

Calculated values
Excess energy over the best structure of this formula in the dataset ... 0.000 eV per atom
Total DFT energy (no corrections) ... -4.0877 eV/atom
Density ... 4.7 g cm⁻³

Lattice parameters (Å, degrees): 4.851 15.808 11.958 90.00 90.00 90.00
Space group Cmcm (No. 63)
Inequivalent atoms, fractional coordinates:
1 Rb 0.000 0.247 0.250 (multiplicity 4)
2 Sm 0.000 0.500 0.000 (multiplicity 4)
3 Al 0.000 0.022 0.750 (multiplicity 4)
4 Te 0.000 0.124 0.567 (multiplicity 8)
5 Te 0.000 0.439 0.750 (multiplicity 4)

=====

No. 4
# La2TbSi4Ag4

A relaxed structure of La2TbSi4Ag4 (GGA-PBE, OQMD).

Calculated values
Total DFT energy (no corrections) ... -4.8078 eV/atom
Density ... 7.0 g cm⁻³

Lattice parameters (Å, degrees): 4.214 4.309 25.742 90.00 90.00 90.00
Space group Immm (No. 71)
Inequivalent atoms, fractional coordinates:
1 La 0.000 0.000 0.147 (multiplicity 4)
2 Tb 0.000 0.500 0.000 (multiplicity 2)
3 Si 0.000 0.000 0.310 (multiplicity 4)
4 Si 0.000 0.500 0.455 (multiplicity 4)
5 Ag 0.000 0.000 0.407 (multiplicity 4)
6 Ag 0.000 0.500 0.250 (multiplicity 4)

=====

No. 5
# LaInHg2

A relaxed structure of LaInHg2 (GGA-PBE, OQMD).

Calculated values
Excess energy over the best structure of this formula in the dataset ... 0.137 eV per atom
Total DFT energy (no corrections) ... -2.4023 eV/atom
Density ... 10.1 g cm⁻³

Lattice parameters (Å, degrees): 3.802 3.802 7.459 90.00 90.00 90.00
Space group P4/mmm (No. 123)
Inequivalent atoms, fractional coordinates:
1 La 0.000 0.000 0.000 (multiplicity 1)
2 In 0.000 0.000 0.500 (multiplicity 1)
3 Hg 0.500 0.500 0.264 (multiplicity 2)

=====

No. 6
# Pr2Ge3Pd

A relaxed structure of Pr2Ge3Pd (GGA-PBE, OQMD).

Calculated values
Total DFT energy (no corrections) ... -5.5922 eV/atom
Density ... 7.3 g cm⁻³

Lattice parameters (Å, degrees): 4.206 4.421 7.386 90.00 90.00 90.00
Space group Pmm2 (No. 25)
Inequivalent atoms, fractional coordinates:
1 Pr 0.000 0.000 0.000 (multiplicity 1)
2 Pr 0.000 0.500 0.492 (multiplicity 1)
3 Ge 0.500 0.000 0.332 (multiplicity 1)
4 Ge 0.500 0.000 0.672 (multiplicity 1)
5 Ge 0.500 0.500 0.158 (multiplicity 1)
6 Pd 0.500 0.500 0.824 (multiplicity 1)